DFT (PBE) results for crystalline Sm6Te5Rh at its relaxed geometry.

final energy = -5.5822 eV/atom
mass density = 7.419 Mg/m³
formation energy without anion corrections = -1.301 eV/atom

a = 7.6688 Å, b = 7.6688 Å, c = 7.6454 Å
α = 99.69°, β = 99.69°, γ = 119.75°
Sites, in units of the cell vectors:
Sm (0.0729, 0.3740, 0.7249)
Sm (0.2226, 0.2226, 0.2609)
Sm (0.3740, 0.0729, 0.7249)
Sm (0.6260, 0.9271, 0.2751)
Sm (0.7774, 0.7774, 0.7391)
Sm (0.9271, 0.6260, 0.2751)
Te (0.1805, 0.8195, 0.0000)
Te (0.3361, 0.6639, 0.5000)
Te (0.5000, 0.5000, 0.0000)
Te (0.6639, 0.3361, 0.5000)
Te (0.8195, 0.1805, 0.0000)
Rh (0.0000, 0.0000, 0.5000)